[1]
Compound: HoTm5Sb2
Source: Alexandria
Functional: PBE
Structure: optimized geometry

```
HoTm5Sb2
1.0
2.074 -5.972 0.000
2.074 5.972 0.000
0.000 0.000 18.485
Ho Tm Sb
2 10 4
Cartesian
2.074 3.808 13.864 Ho
2.074 -3.808 4.621 Ho
2.074 4.895 4.621 Tm
2.074 4.329 9.715 Tm
2.074 4.329 18.013 Tm
2.074 0.534 11.331 Tm
2.074 0.534 16.396 Tm
2.074 -0.534 2.089 Tm
2.074 -0.534 7.153 Tm
2.074 -4.329 0.472 Tm
2.074 -4.329 8.770 Tm
2.074 -4.895 13.864 Tm
2.074 2.898 2.358 Sb
2.074 2.898 6.885 Sb
2.074 -2.898 11.600 Sb
2.074 -2.898 16.127 Sb
```

=====

[2]
Compound: NiHg2P
Source: Alexandria
Functional: PBE
Structure: optimized geometry

```
NiHg2P
1.0
2.918 0.000 0.000
0.000 2.918 0.000
0.000 0.000 9.739
Ni Hg P
1 2 1
Cartesian
0.000 0.000 0.000 Ni
0.000 0.000 4.039 Hg
1.459 1.459 7.336 Hg
1.459 1.459 1.000 P
```

## Properties
Formation energy from the elements: 0.057 eV per atom

=====

[3]
Compound: Rb2MgNp2S6
Source: Alexandria
Functional: PBE
Structure: optimized geometry

```
Rb2MgNp2S6
1.0
3.415 -5.936 0.000
3.415 5.936 0.000
-2.212 0.000 7.844
Rb Mg Np S
2 1 2 6
Cartesian
3.415 3.991 0.000 Rb
3.415 -3.991 0.000 Rb
-1.106 0.000 3.922 Mg
2.309 1.972 3.922 Np
2.309 -1.972 3.922 Np
0.036 2.001 5.355 S
1.148 0.000 2.505 S
0.036 -2.001 5.355 S
4.583 2.001 2.489 S
3.471 0.000 5.339 S
4.583 -2.001 2.489 S
```

=====

[4]
Compound: Te2SeCl
Source: Alexandria
Functional: PBE
Structure: optimized geometry

```
Te2SeCl
1.0
-2.441 2.441 4.064
2.441 -2.441 4.064
2.441 2.441 -4.064
Te Se Cl
2 1 1
Cartesian
2.441 0.000 2.032 Te
0.000 2.441 2.032 Te
0.000 0.000 0.000 Se
0.000 0.000 4.064 Cl
```

## Properties
Relative energy among the computed polymorphs: 447 meV/atom

=====

[5]
Compound: KCo2Tc
Source: Alexandria
Functional: PBE
Structure: optimized geometry

```
KCo2Tc
1.0
2.874 0.000 0.000
0.000 2.874 0.000
0.000 0.000 8.216
K Co Tc
1 2 1
Cartesian
0.000 0.000 0.000 K
1.437 1.437 2.676 Co
1.437 1.437 5.540 Co
0.000 0.000 4.108 Tc
```

## Properties
Relative energy among the computed polymorphs: 0 meV/atom
Formation energy from the elements: 0.688 eV per atom

=====

[6]
Compound: Pr6HoTl2
Source: Alexandria
Functional: PBE
Structure: optimized geometry

```
Pr6HoTl2
1.0
6.630 -1.930 0.000
6.630 1.930 0.000
-3.761 0.000 11.695
Pr Ho Tl
6 1 2
Cartesian
-1.030 0.000 4.009 Pr
2.523 0.000 4.746 Pr
3.779 0.000 1.442 Pr
5.720 0.000 10.253 Pr
6.975 0.000 6.949 Pr
10.529 0.000 7.687 Pr
0.000 0.000 0.000 Ho
1.778 0.000 9.460 Tl
7.720 0.000 2.235 Tl
```

## Properties
Relative energy among the computed polymorphs: 0 meV/atom
Formation energy from the elements: -0.153 eV per atom

=====

Final energy for every record listed, in sequence, given in eV per atom: -4.878; -2.891; -6.274; -2.604; -5.731; -4.374.